1.
! LaTe2Mo GGA-PBE relaxed; values from VASP
! energy relative to the lowest polymorph listed for this composition	11.2	kJ/mol of atoms
! volume	25.86	A^3/atom
! energy relative to the elements, uncorrected	-38.2	kJ/mol of atoms
&SYSTEM
  ibrav = 0, nat = 4, ntyp = 3
/
ATOMIC_SPECIES
La 138.91 La.upf
Te 127.60 Te.upf
Mo 95.94 Mo.upf
CELL_PARAMETERS angstrom
-2.281 2.900 3.910
2.281 -2.900 3.910
2.281 2.900 -3.910
ATOMIC_POSITIONS crystal
La 0.000 0.000 0.000
Te 0.290 0.790 0.500
Te 0.710 0.210 0.500
Mo 0.500 0.500 0.000

2.
! HPd2CI GGA-PBE relaxed; values from VASP
! energy relative to the lowest polymorph listed for this composition	34.4	kJ/mol of atoms
! volume	13.76	A^3/atom
&SYSTEM
  ibrav = 0, nat = 5, ntyp = 4
/
ATOMIC_SPECIES
H 1.01 H.upf
Pd 106.42 Pd.upf
C 12.01 C.upf
I 126.90 I.upf
CELL_PARAMETERS angstrom
4.033 0.000 0.000
0.000 4.033 0.000
0.000 0.000 4.229
ATOMIC_POSITIONS crystal
H 0.000 0.000 0.000
Pd 0.000 0.500 0.000
Pd 0.500 0.000 0.000
C 0.000 0.000 0.500
I 0.500 0.500 0.500

Q: What is the energy relative to the lowest polymorph listed for this composition in the second record?
A: 34.4 kJ/mol of atoms